This record from Alexandria describes crystalline Li3FeO4 at its relaxed geometry. The functional is GGA+U.

Cell: 4.0155 4.0155 8.7589 Å, 90.00 90.00 90.00°
Closest atoms and distances in Å follow each position.
Space group I4/mmm (No. 139)
One atom of each set of equivalent atoms:
1 Li 0.0000 0.0000 0.0000  4 O 2.01
2 Li 0.0000 0.5000 0.2500  6 O 2.04-2.19
3 Fe 0.0000 0.0000 0.5000  6 O 1.84-2.01
4 O 0.0000 0.0000 0.2902  1 Fe 1.84, 4 Li 2.04
5 O 0.0000 0.5000 0.0000  2 Fe 2.01, 4 Li 2.01-2.19

**VASP energy**: -0.3951 Ry/atom
**Energy above the most stable polymorph in this dataset**: 0.364 eV per formula unit